1.
MnNiAu | PBE-GGA | relaxed

ρ: 11.6 g/cm³
ΔE_f: 0.138 eV/atom
energy relative to the lowest polymorph listed for this composition: 176 meV/atom
E_tot: -17.813 eV/cell
total magnetic moment: 4.43 μB/f.u.

Cell lengths 2.846, 2.846, 6.324 Å; angles 90.00, 90.00, 120.00 degrees
Site moments in Bohr magnetons follow the coordinates.
Element x y z (fractional)
Au 0.000 0.000 0.997  0.05
Mn 0.667 0.333 0.356  3.59
Ni 0.333 0.667 0.647  0.67



2.
La3AlB | PBE-GGA | relaxed

ρ: 5.1 g/cm³
ΔE_f: -0.027 eV/atom
energy relative to the lowest polymorph listed for this composition: 0 meV/atom
E_tot: -25.340 eV/cell
total magnetic moment: 0.00 μB/f.u.

Cell lengths 5.295, 5.295, 5.295 Å; angles 90.00, 90.00, 90.00 degrees
Element x y z (fractional)
B 0.000 0.000 0.000
Al 0.500 0.500 0.500
La 0.000 0.500 0.000
La 0.000 0.000 0.500
La 0.500 0.000 0.000



3.
InAsI6 | PBE-GGA | relaxed

ρ: 5.1 g/cm³
formation energy without anion corrections: -219 meV per atom
E_tot: -18.445 eV/cell
total magnetic moment: 0.00 μB/f.u.

Cell lengths 7.392, 7.391, 7.841 Å; angles 61.88, 61.88, 60.00 degrees
Element x y z (fractional)
In 0.500 0.500 0.500
As 0.000 0.000 0.000
I 0.084 0.408 0.754
I 0.754 0.084 0.754
I 0.592 0.246 0.246
I 0.246 0.916 0.246
I 0.916 0.592 0.246
I 0.408 0.754 0.754



4.
PmZrPb | PBE-GGA | relaxed

ρ: 9.0 g/cm³
ΔE_f: -0.360 eV/atom
energy relative to the lowest polymorph listed for this composition: 17 meV/atom
E_tot: -36.172 eV/cell
total magnetic moment: 0.00 μB/f.u.

Cell lengths 4.788, 4.194, 10.300 Å; angles 127.84, 90.00, 90.00 degrees
Element x y z (fractional)
Pm 0.347 0.264 0.256
Pm 0.847 0.725 0.567
Zr 0.847 0.732 0.903
Zr 0.347 0.257 0.920
Pb 0.347 0.330 0.636
Pb 0.847 0.660 0.187



5.
Mg2RuO4 | PBE-GGA | relaxed

ρ: 4.5 g/cm³
energy relative to the lowest polymorph listed for this composition: 0 meV/atom
formation energy without anion corrections: -1923 meV per atom
E_tot: -183.037 eV/cell
total magnetic moment: 2.01 μB/f.u.

Cell lengths 6.075, 6.075, 8.508 Å; angles 90.00, 90.00, 90.00 degrees
Site moments in Bohr magnetons follow the coordinates.
Element x y z (fractional)
Mg 0.738 0.738 0.875  0.01
Mg 0.262 0.738 0.125  0.01
Mg 0.738 0.262 0.625  0.01
Mg 0.262 0.262 0.375  0.01
Mg 0.755 0.500 0.250  0.01
Mg 0.500 0.245 0.000  0.01
Mg 0.500 0.755 0.500  0.01
Mg 0.245 0.500 0.750  0.01
Ru 0.000 0.761 0.500  1.55
Ru 0.239 0.000 0.750  1.55
Ru 0.761 0.000 0.250  1.55
Ru 0.000 0.239 0.000  1.55
O 0.247 0.993 0.507  0.07
O 0.753 0.993 0.493  0.07
O 0.007 0.247 0.757  0.07
O 0.753 0.007 0.007  0.07
O 0.239 0.466 0.995  0.09
O 0.534 0.239 0.245  0.09
O 0.466 0.761 0.745  0.09
O 0.239 0.534 0.505  0.09
O 0.761 0.466 0.005  0.09
O 0.761 0.534 0.495  0.09
O 0.466 0.239 0.755  0.09
O 0.534 0.761 0.255  0.09
O 0.993 0.247 0.243  0.07
O 0.247 0.007 0.993  0.07
O 0.993 0.753 0.257  0.07
O 0.007 0.753 0.743  0.07



6.
BiRhC2 | PBE-GGA | relaxed

ρ: 8.6 g/cm³
ΔE_f: 1.200 eV/atom
E_tot: -49.762 eV/cell
total magnetic moment: 0.00 μB/f.u.

Cell lengths 5.178, 5.178, 6.089 Å; angles 64.84, 64.84, 90.00 degrees
Element x y z (fractional)
C 0.549 0.125 0.250
C 0.201 0.625 0.250
C 0.375 0.451 0.750
C 0.875 0.799 0.750
Rh 0.500 0.500 0.000
Rh 0.250 0.750 0.500
Bi 0.000 0.000 0.000
Bi 0.750 0.250 0.500



7.
KLi2Pt | PBE-GGA | relaxed

ρ: 4.1 g/cm³
ΔE_f: -0.203 eV/atom
E_tot: -11.776 eV/cell
total magnetic moment: 0.00 μB/f.u.

Cell lengths 4.414, 4.414, 6.443 Å; angles 70.02, 70.02, 59.95 degrees
Element x y z (fractional)
K 0.243 0.243 0.271
Li 0.058 0.058 0.826
Li 0.766 0.766 0.701
Pt 0.433 0.433 0.702



8.
Li4MgGa2 | PBE-GGA | relaxed

ρ: 2.7 g/cm³
ΔE_f: -0.212 eV/atom
energy relative to the lowest polymorph listed for this composition: 0 meV/atom
E_tot: -16.788 eV/cell
total magnetic moment: 0.00 μB/f.u.

Cell lengths 4.498, 4.454, 8.460 Å; angles 58.69, 90.00, 120.33 degrees
Element x y z (fractional)
Li 0.863 0.725 0.206
Li 0.137 0.275 0.794
Li 0.545 0.089 0.683
Li 0.455 0.911 0.317
Mg 0.000 0.000 0.500
Ga 0.719 0.437 0.921
Ga 0.281 0.563 0.079



9.
La5SmHg2 | PBE-GGA | relaxed

ρ: 7.5 g/cm³
ΔE_f: -0.144 eV/atom
E_tot: -62.219 eV/cell
total magnetic moment: 0.00 μB/f.u.

Cell lengths 5.617, 5.617, 20.330 Å; angles 90.00, 90.00, 120.00 degrees
Element x y z (fractional)
La 0.000 0.000 0.340
La 0.000 0.000 0.160
La 0.667 0.333 0.250
La 0.000 0.000 0.840
La 0.667 0.333 0.062
La 0.333 0.667 0.750
La 0.333 0.667 0.938
La 0.333 0.667 0.562
La 0.667 0.333 0.438
La 0.000 0.000 0.660
Sm 0.333 0.667 0.250
Sm 0.667 0.333 0.750
Hg 0.667 0.333 0.597
Hg 0.333 0.667 0.097
Hg 0.333 0.667 0.403
Hg 0.667 0.333 0.903



10.
TlTe2Au | PBE-GGA | relaxed

ρ: 9.2 g/cm³
formation energy without anion corrections: -74 meV per atom
E_tot: -12.222 eV/cell
total magnetic moment: 0.00 μB/f.u.

Cell lengths 4.190, 4.190, 8.176 Å; angles 74.96, 74.96, 59.76 degrees
Element x y z (fractional)
Tl 0.498 0.498 0.500
Te 0.067 0.067 0.803
Te 0.267 0.267 0.199
Au 0.668 0.668 0.997



11.
Sm3Te2Ru | PBE-GGA | relaxed

ρ: 7.6 g/cm³
energy relative to the lowest polymorph listed for this composition: 30 meV/atom
formation energy without anion corrections: -920 meV per atom
E_tot: -70.471 eV/cell
total magnetic moment: 0.00 μB/f.u.

Cell lengths 7.356, 7.558, 7.558 Å; angles 117.42, 99.93, 99.93 degrees
Element x y z (fractional)
Sm 0.012 0.234 0.367
Sm 0.512 0.367 0.234
Sm 0.000 0.500 0.000
Sm 0.988 0.766 0.633
Sm 0.500 0.000 0.500
Sm 0.488 0.633 0.766
Te 0.250 0.920 0.080
Te 0.250 0.236 0.764
Te 0.750 0.080 0.920
Te 0.750 0.764 0.236
Ru 0.250 0.594 0.406
Ru 0.750 0.406 0.594



12.
Cr2WSe | PBE-GGA | relaxed

ρ: 10.9 g/cm³
formation energy without anion corrections: 254 meV per atom
E_tot: -34.669 eV/cell
total magnetic moment: 0.94 μB/f.u.

Cell lengths 3.074, 3.074, 5.918 Å; angles 90.00, 90.00, 90.00 degrees
Site moments in Bohr magnetons follow the coordinates.
Element x y z (fractional)
Cr 0.000 0.000 0.998  0.58
Cr 0.000 0.000 0.502  0.58
Se 0.500 0.500 0.250  -0.03
W 0.500 0.500 0.750  -0.22